A plane-wave DFT calculation with PBE with a Hubbard U was carried out for an optimized crystal structure of ThPaV2O8.

Space-group type: I-4 (82)
Total energy: -106.11 eV/cell
Crystal system: tetragonal

a b c (Å): 6.7378 6.7378 6.7378
angles (deg): 134.17 134.17 66.82
Positions (direct):
1 Th 0.0000 0.0000 0.0000
2 Pa 0.2500 0.7500 0.5000
3 V 0.5000 0.5000 0.0000
4 V 0.7500 0.2500 0.5000
5 O 0.0169 0.0547 0.4110
6 O 0.2458 0.6659 0.0804
7 O 0.3341 0.4145 0.5799
8 O 0.3940 0.9831 0.0378
9 O 0.5855 0.1654 0.9196
10 O 0.6437 0.6060 0.5890
11 O 0.8346 0.7542 0.4201
12 O 0.9453 0.3563 0.9622